1.
Below is crystalline RbAl3I at its relaxed geometry, with properties calculated at the PBE level.

a = 6.389 Å, b = 6.389 Å, c = 6.389 Å
α = 90.00°, β = 90.00°, γ = 90.00°
Space group Pm-3m (No. 221)
Unique sites:
Rb (0.000, 0.000, 0.000)
Al (0.000, 0.000, 0.500)
I (0.500, 0.500, 0.500)

**Energy**: -1.4191 eV/atom
**Polymorph energy (0 for the lowest one)**: 591 meV/atom
**Formation energy (no corrections)**: 1330 meV/atom

2.
Below is crystalline Ba3Si2As4 at its relaxed geometry, with properties calculated at the PBE level.

a = 9.679 Å, b = 17.702 Å, c = 7.822 Å
α = 90.00°, β = 122.64°, γ = 90.00°
Space group C2/c (No. 15)
Unique sites:
Ba (0.000, 0.058, 0.250)
Ba (0.000, 0.190, 0.750)
Ba (0.000, 0.435, 0.750)
Si (0.148, 0.318, 0.343)
As (0.239, 0.427, 0.254)
As (0.247, 0.198, 0.296)

**Energy**: -4.7223 eV/atom
**Polymorph energy (0 for the lowest one)**: 0 meV/atom
**Formation energy (no corrections)**: -810 meV/atom

3.
Below is crystalline TlCoAu2 at its relaxed geometry, with properties calculated at the PBE level.

a = 3.044 Å, b = 3.197 Å, c = 7.813 Å
α = 90.00°, β = 90.00°, γ = 90.00°
Space group Pmmm (No. 47)
Unique sites:
Tl (0.000, 0.000, 0.000)
Co (0.000, 0.000, 0.500)
Au (0.500, 0.500, 0.304)

**Energy**: -3.7595 eV/atom
**Polymorph energy (0 for the lowest one)**: 0 meV/atom
**ΔE_f**: 23.85 kJ/mol of atoms

4.
Below is crystalline InGa2Ag2 at its relaxed geometry, with properties calculated at the PBE level.

a = 5.711 Å, b = 7.490 Å, c = 5.191 Å
α = 90.00°, β = 107.61°, γ = 90.00°
Space group C2/m (No. 12)
Unique sites:
In (0.000, 0.000, 0.000)
Ga (0.077, 0.500, 0.262)
Ag (0.000, 0.196, 0.500)

**Energy**: -2.8586 eV/atom
**Polymorph energy (0 for the lowest one)**: 4 meV/atom
**ΔE_f**: 3.89 kJ/mol of atoms

5.
Below is crystalline In2CoRh at its relaxed geometry, with properties calculated at the PBE level.

a = 8.464 Å, b = 3.104 Å, c = 5.350 Å
α = 90.00°, β = 102.55°, γ = 90.00°
Space group C2/m (No. 12)
Unique sites:
In (0.247, 0.000, 0.243)
Co (0.000, 0.500, 0.000)
Rh (0.000, 0.000, 0.500)

**Energy**: -4.9057 eV/atom
**ΔE_f**: 7.51 kJ/mol of atoms

6.
Below is crystalline LaZrSb4 at its relaxed geometry, with properties calculated at the PBE level.

a = 8.786 Å, b = 8.786 Å, c = 8.786 Å
α = 90.00°, β = 90.00°, γ = 90.00°
Space group F-43m (No. 216)
Unique sites:
La (0.000, 0.000, 0.000)
Zr (0.250, 0.250, 0.250)
Sb (0.124, 0.124, 0.624)

**Energy**: -4.9824 eV/atom
**Formation energy (no corrections)**: 12 meV/atom

7.
Below is crystalline TiFeNiP at its relaxed geometry, with properties calculated at the PBE level.

a = 3.779 Å, b = 2.701 Å, c = 9.668 Å
α = 90.00°, β = 90.00°, γ = 90.00°
Space group Amm2 (No. 38)
Unique sites:
Ti (0.000, 0.000, 0.000)
Fe (0.000, 0.000, 0.256)
Ni (0.500, 0.000, 0.646)
P (0.500, 0.000, 0.382)

**Energy**: -7.3025 eV/atom
**Polymorph energy (0 for the lowest one)**: 192 meV/atom
**ΔE_f**: -40.07 kJ/mol of atoms

8.
Below is crystalline TaRe2Ir at its relaxed geometry, with properties calculated at the PBE level.

a = 9.362 Å, b = 2.780 Å, c = 4.855 Å
α = 90.00°, β = 99.41°, γ = 90.00°
Space group C2/m (No. 12)
Unique sites:
Ta (0.000, 0.000, 0.000)
Re (0.241, 0.000, 0.739)
Ir (0.000, 0.500, 0.500)

**Energy**: -11.5524 eV/atom
**Polymorph energy (0 for the lowest one)**: 62 meV/atom
**ΔE_f**: -14.47 kJ/mol of atoms

9.
Below is crystalline Pr4Te3O at its relaxed geometry, with properties calculated at the PBE level.

a = 10.303 Å, b = 8.280 Å, c = 6.344 Å
α = 90.00°, β = 90.00°, γ = 90.00°
Space group Pmn2_1 (No. 31)
Unique sites:
Pr (0.000, 0.126, 0.000)
Pr (0.000, 0.858, 0.488)
Pr (0.203, 0.250, 0.475)
Te (0.000, 0.749, 0.997)
Te (0.239, 0.358, 0.979)
O (0.000, 0.136, 0.367)

**Energy**: -5.7083 eV/atom
**Formation energy (no corrections)**: -1521 meV/atom

10.
Below is crystalline K2SiCl6 at its relaxed geometry, with properties calculated at the PBE level.

a = 6.620 Å, b = 6.620 Å, c = 12.891 Å
α = 90.00°, β = 90.00°, γ = 90.00°
Space group P4_2/mnm (No. 136)
Unique sites:
K (0.000, 0.000, 0.165)
Si (0.000, 0.000, 0.500)
Cl (0.168, 0.168, 0.376)
Cl (0.239, 0.761, 0.500)

**Energy**: -3.4984 eV/atom
**Formation energy (no corrections)**: -1421 meV/atom

11.
Below is crystalline BaRu2Pt at its relaxed geometry, with properties calculated at the PBE level.

a = 2.994 Å, b = 5.059 Å, c = 5.169 Å
α = 90.00°, β = 90.00°, γ = 90.00°
Space group Pmmm (No. 47)
Unique sites:
Ba (0.000, 0.000, 0.000)
Ru (0.000, 0.500, 0.500)
Ru (0.500, 0.500, 0.000)
Pt (0.500, 0.000, 0.500)

**Energy**: -5.7858 eV/atom
**Polymorph energy (0 for the lowest one)**: 736 meV/atom
**ΔE_f**: 81.34 kJ/mol of atoms

12.
Below is crystalline Tb5YEr3 at its relaxed geometry, with properties calculated at the PBE level.

a = 15.076 Å, b = 11.431 Å, c = 9.854 Å
α = 90.00°, β = 129.87°, γ = 90.00°
Space group C2/m (No. 12)
Unique sites:
Tb (0.000, 0.243, 0.000)
Tb (0.147, 0.248, 0.748)
Tb (0.222, 0.500, 0.040)
Tb (0.225, 0.000, 0.234)
Y (0.247, 0.000, 0.596)
Er (0.000, 0.000, 0.500)
Er (0.000, 0.500, 0.000)
Er (0.010, 0.000, 0.822)
Er (0.018, 0.500, 0.359)

**Energy**: -4.2951 eV/atom
**Polymorph energy (0 for the lowest one)**: 464 meV/atom
**ΔE_f**: 49.83 kJ/mol of atoms